8
Lattice="-3.438 3.438 4.457 3.438 -3.438 4.457 3.438 3.438 -4.457" Properties=species:S:1:pos:R:3 comment="Er5Tl2H, optimized geometry, DFT PBE" e_tot_ev_per_atom=-3.984 dos_at_fermi_per_ev_atom=1.10 pbc="T T T"
Er 0.000 0.000 0.000
Er 1.731 1.731 -2.190
Er 1.707 -1.707 2.267
Er -1.707 1.707 2.267
Er 1.707 1.707 2.267
Tl 3.438 0.000 0.028
Tl 0.000 3.438 0.028
H 0.000 0.000 6.712